A geometry-optimized LiTcTe2 structure. Source: Alexandria, functional GGA-PBE.

a b c (Å): 3.418 3.418 7.382
angles (deg): 90.00 90.00 90.00
Space group P4mm (No. 99)
One atom of each set of equivalent atoms:
Li 0.000 0.000 0.000
Tc 0.500 0.500 0.196
Te 0.000 0.000 0.370
Te 0.500 0.500 0.824

Properties
formation energy without anion corrections: -0.149 eV per atom
total moment: 0.00 μB per formula unit